No. 1
Sc6AlPd2 | PBE | optimized geometry

a b c (Å): 7.9276 7.9276 7.9276
angles (deg): 105.56 111.89 111.03
Last column: nearest neighbours and their distance in Å.
Element x y z (fractional)
1 Sc 0.5336 0.7174 0.8162  3 Pd 2.88-2.89, 1 Al 3.02
2 Sc 0.4664 0.2826 0.1838  3 Pd 2.88-2.89, 1 Al 3.02
3 Sc 0.0988 0.2826 0.8162  3 Pd 2.88-2.89, 1 Al 3.02
4 Sc 0.9012 0.7174 0.1838  3 Pd 2.88-2.89, 1 Al 3.02
5 Sc 0.8022 0.7595 0.5616  2 Pd 2.63-2.92, 1 Al 2.90
6 Sc 0.1978 0.2405 0.4384  2 Pd 2.63-2.92, 1 Al 2.90
7 Sc 0.1978 0.7595 0.9573  2 Pd 2.63-2.92, 1 Al 2.90
8 Sc 0.8022 0.2405 0.0427  2 Pd 2.63-2.92, 1 Al 2.90
9 Sc 0.7136 0.3867 0.6731  3 Pd 2.63-2.91
10 Sc 0.2864 0.6133 0.3269  3 Pd 2.63-2.91
11 Sc 0.2864 0.9594 0.6731  3 Pd 2.63-2.91
12 Sc 0.7136 0.0406 0.3269  3 Pd 2.63-2.91
13 Al 0.0000 0.5000 0.5000  8 Sc 3.05-3.06
14 Al 0.0000 0.0000 0.0000  8 Sc 2.90-3.02, 2 Pd 3.02
15 Pd 0.5000 0.3601 0.8601  8 Sc 2.63-2.92, 1 Pd 2.68
16 Pd 0.5000 0.6399 0.1399  8 Sc 2.63-2.92, 1 Pd 2.68
17 Pd 0.6596 0.0000 0.6596  8 Sc 2.63-2.91, 1 Pd 2.83
18 Pd 0.3404 0.0000 0.3404  8 Sc 2.63-2.91, 1 Pd 2.83

Values from the calculation:
The formation energy is -0.52 eV/atom. Its total energy is -6.310 eV per atom. Its symmetry is Immm, No. 71.

=====

No. 2
La2Zn2In3 | PBE | optimized geometry

a b c (Å): 4.7531 7.4596 10.5229
angles (deg): 90.00 103.05 90.00
Last column: nearest neighbours and their distance in Å.
Element x y z (fractional)
1 La 0.1637 0.2500 0.3274  6 In 3.35-3.42, 6 Zn 3.36-3.38
2 La 0.8363 0.7500 0.6726  6 In 3.35-3.42, 6 Zn 3.36-3.38
3 La 0.9528 0.2500 0.9056  9 In 3.35-3.59
4 La 0.0472 0.7500 0.0944  9 In 3.35-3.59
5 Zn 0.6867 0.9333 0.3734  3 In 2.68-2.83, 1 Zn 2.73
6 Zn 0.3133 0.0667 0.6266  3 In 2.68-2.83, 1 Zn 2.73
7 Zn 0.3133 0.4333 0.6266  3 In 2.68-2.83, 1 Zn 2.73
8 Zn 0.6867 0.5667 0.3734  3 In 2.68-2.83, 1 Zn 2.73
9 In 0.2209 0.7500 0.4419  6 Zn 2.83-3.03
10 In 0.7791 0.2500 0.5581  6 Zn 2.83-3.03
11 In 0.5648 0.4376 0.1295  1 Zn 2.68, 2 In 2.80-2.81
12 In 0.4352 0.5624 0.8705  1 Zn 2.68, 2 In 2.80-2.81
13 In 0.4352 0.9376 0.8705  1 Zn 2.68, 2 In 2.80-2.81
14 In 0.5648 0.0624 0.1295  1 Zn 2.68, 2 In 2.80-2.81

Values from the calculation:
The formation energy is -0.42 eV/atom. Its total energy is -3.364 eV per atom. Its symmetry is Cmcm, No. 63.

=====

No. 3
Cu3Rh2 | PBE | optimized geometry

a b c (Å): 2.6661 2.6661 10.7333
angles (deg): 97.13 97.13 60.00
Last column: nearest neighbours and their distance in Å.
Element x y z (fractional)
1 Cu 0.0000 0.0000 0.0000  6 Rh 2.65, 6 Cu 2.67
2 Cu 0.1984 0.1984 0.5951  9 Cu 2.54-2.67, 3 Rh 2.64
3 Cu 0.8016 0.8016 0.4049  9 Cu 2.54-2.67, 3 Rh 2.64
4 Rh 0.4008 0.4008 0.2025  6 Cu 2.64-2.65, 6 Rh 2.67
5 Rh 0.5992 0.5992 0.7975  6 Cu 2.64-2.65, 6 Rh 2.67

Values from the calculation:
The formation energy is 0.05 eV/atom. Its total energy is -5.349 eV per atom. Its symmetry is R-3m, No. 166. For the excess energy over the best structure of this formula in the dataset, the calculation gives 14.2 meV per atom.

=====

No. 4
KRb2LiBr6 | PBE | optimized geometry

a b c (Å): 8.1282 8.1282 8.1285
angles (deg): 60.00 60.00 90.00
Last column: nearest neighbours and their distance in Å.
Element x y z (fractional)
1 K 0.0000 0.0000 0.0000  6 Br 3.12
2 Br 0.2713 0.2713 0.4573  1 Li 2.63
3 Br 0.7287 0.7287 0.5427  1 Li 2.63
4 Br 0.2714 0.2714 0.0000  1 Li 2.63
5 Br 0.7286 0.7286 0.0000  1 Li 2.63
6 Br 0.7286 0.2714 0.0000  1 Li 2.63
7 Br 0.2714 0.7286 0.0000  1 Li 2.63
8 Rb 0.7500 0.2500 0.5000  12 Br 4.07
9 Rb 0.2500 0.7500 0.5000  12 Br 4.07
10 Li 0.5000 0.5000 0.0000  6 Br 2.63

Values from the calculation:
Its total energy is -2.639 eV per atom. Its symmetry is Fm-3m, No. 225. The calculation puts the formation energy (no corrections) at -1141 meV/atom.

=====

No. 5
BaAc2CuO5 | PBE | optimized geometry

a b c (Å): 7.1331 7.1331 7.7800
angles (deg): 117.29 117.29 90.00
Last column: nearest neighbours and their distance in Å.
Element x y z (fractional)
1 Ba 0.2500 0.2500 0.5000  10 O 2.96-3.08
2 Ba 0.7500 0.7500 0.5000  10 O 2.96-3.08
3 Ac 0.1735 0.3265 0.0000  4 O 2.45-2.64
4 Ac 0.6735 0.1735 0.0000  4 O 2.45-2.64
5 Ac 0.3265 0.8265 0.0000  4 O 2.45-2.64
6 Ac 0.8265 0.6735 0.0000  4 O 2.45-2.64
7 Cu 0.2500 0.7500 0.5000  4 O 1.99
8 Cu 0.7500 0.2500 0.5000  4 O 1.99
9 O 0.9921 0.4921 0.2665  1 Cu 1.99
10 O 0.7256 0.2256 0.7335  1 Cu 1.99
11 O 0.0079 0.5079 0.7335  1 Cu 1.99
12 O 0.2256 0.0079 0.7335  1 Cu 1.99
13 O 0.5079 0.7256 0.7335  1 Cu 1.99
14 O 0.7744 0.9921 0.2665  1 Cu 1.99
15 O 0.4921 0.2744 0.2665  1 Cu 1.99
16 O 0.2744 0.7744 0.2665  1 Cu 1.99
17 O 0.5000 0.5000 0.0000  4 Ac 2.64
18 O 0.0000 0.0000 0.0000  4 Ac 2.64

Values from the calculation:
Its total energy is -6.831 eV per atom. Its symmetry is I4/mcm, No. 140. The calculation puts the formation energy (no corrections) at -2495 meV/atom.

=====

No. 6
Pm2SmPd | PBE | optimized geometry

a b c (Å): 6.5700 7.1975 10.0572
angles (deg): 90.00 90.00 90.00
Last column: nearest neighbours and their distance in Å.
Element x y z (fractional)
1 Pm 0.1700 0.6807 0.0600  2 Pd 2.94-2.96
2 Pm 0.3300 0.1807 0.4400  2 Pd 2.94-2.96
3 Pm 0.8300 0.3193 0.5600  2 Pd 2.94-2.96
4 Pm 0.6700 0.8193 0.9400  2 Pd 2.94-2.96
5 Pm 0.8300 0.3193 0.9400  2 Pd 2.94-2.96
6 Pm 0.6700 0.8193 0.5600  2 Pd 2.94-2.96
7 Pm 0.1700 0.6807 0.4400  2 Pd 2.94-2.96
8 Pm 0.3300 0.1807 0.0600  2 Pd 2.94-2.96
9 Sm 0.6406 0.5251 0.2500  2 Pd 2.93-2.98
10 Sm 0.8594 0.0251 0.2500  2 Pd 2.93-2.98
11 Sm 0.3594 0.4749 0.7500  2 Pd 2.93-2.98
12 Sm 0.1406 0.9749 0.7500  2 Pd 2.93-2.98
13 Pd 0.0682 0.3852 0.2500  2 Sm 2.93-2.98, 4 Pm 2.94-2.96
14 Pd 0.4318 0.8852 0.2500  2 Sm 2.93-2.98, 4 Pm 2.94-2.96
15 Pd 0.9318 0.6148 0.7500  2 Sm 2.93-2.98, 4 Pm 2.94-2.96
16 Pd 0.5682 0.1148 0.7500  2 Sm 2.93-2.98, 4 Pm 2.94-2.96

Values from the calculation:
The formation energy is -0.42 eV/atom. Its total energy is -5.274 eV per atom. Its symmetry is Pnma, No. 62. For the excess energy over the best structure of this formula in the dataset, the calculation gives 0.0 meV per atom.

=====

No. 7
ZrCrSe2 | PBE | optimized geometry

a b c (Å): 4.7777 4.7777 4.7777
angles (deg): 60.00 60.00 60.00
Last column: nearest neighbours and their distance in Å.
Element x y z (fractional)
1 Cr 0.5000 0.5000 0.5000  4 Zr 2.93, 4 Se 2.93
2 Se 0.0000 0.0000 0.0000  4 Zr 2.93, 4 Se 2.93
3 Se 0.2500 0.2500 0.2500  4 Cr 2.93, 4 Se 2.93
4 Zr 0.7500 0.7500 0.7500  4 Se 2.93, 4 Cr 2.93

Values from the calculation:
Its total energy is -6.157 eV per atom. Its symmetry is F-43m, No. 216. The calculation puts the formation energy (no corrections) at 128 meV/atom. For the excess energy over the best structure of this formula in the dataset, the calculation gives 916.7 meV per atom.

=====

No. 8
RbHoO3 | PBE | optimized geometry

a b c (Å): 4.4962 4.4962 4.4962
angles (deg): 90.00 90.00 90.00
Last column: nearest neighbours and their distance in Å.
Element x y z (fractional)
1 Rb 0.0000 0.0000 0.0000  12 O 3.18
2 Ho 0.5000 0.5000 0.5000  6 O 2.25
3 O 0.5000 0.5000 0.0000  2 Ho 2.25
4 O 0.5000 0.0000 0.5000  2 Ho 2.25
5 O 0.0000 0.5000 0.5000  2 Ho 2.25

Values from the calculation:
Its total energy is -5.972 eV per atom. Its symmetry is Pm-3m, No. 221. The calculation puts the formation energy (no corrections) at -1888 meV/atom.

=====

No. 9
Ho2ThHg4 | PBE | optimized geometry

a b c (Å): 5.2055 5.2055 7.3153
angles (deg): 90.00 90.00 90.00
Last column: nearest neighbours and their distance in Å.
Element x y z (fractional)
1 Ho 0.0000 0.0000 0.0000  8 Hg 3.28
2 Ho 0.5000 0.5000 0.5000  8 Hg 3.09
3 Th 0.5000 0.5000 0.0000  8 Hg 3.28, 2 Ho 3.66
4 Hg 0.5000 0.0000 0.2719  4 Ho 3.09-3.28, 2 Th 3.28, 1 Hg 3.34
5 Hg 0.0000 0.5000 0.7281  4 Ho 3.09-3.28, 2 Th 3.28, 1 Hg 3.34
6 Hg 0.5000 0.0000 0.7281  4 Ho 3.09-3.28, 2 Th 3.28, 1 Hg 3.34
7 Hg 0.0000 0.5000 0.2719  4 Ho 3.09-3.28, 2 Th 3.28, 1 Hg 3.34

Values from the calculation:
The formation energy is -0.24 eV/atom. Its total energy is -2.777 eV per atom. Its symmetry is P4/mmm, No. 123.

=====

No. 10
KMn2Te | PBE | optimized geometry

a b c (Å): 3.9865 4.0287 7.2577
angles (deg): 89.97 90.00 90.00
Last column: nearest neighbours and their distance in Å.
Element x y z (fractional)
1 K 0.5000 0.8733 0.7268  4 Te 3.53, 4 Mn 3.78-3.79
2 Mn 0.0000 0.8758 0.1685  2 Te 2.80, 4 Mn 2.83
3 Mn 0.5000 0.3760 0.1678  2 Te 2.79, 4 Mn 2.83
4 Te 0.0000 0.3750 0.4369  4 Mn 2.79-2.80

Values from the calculation:
Its total energy is -5.353 eV per atom. Its symmetry is Pm, No. 6. The calculation puts the formation energy (no corrections) at 291 meV/atom.

=====

No. 11
CaTm2Zr | PBE | optimized geometry

a b c (Å): 3.4677 3.4677 11.7449
angles (deg): 81.51 81.51 60.00
Last column: nearest neighbours and their distance in Å.
Element x y z (fractional)
1 Ca 0.5000 0.5000 0.5000  6 Ca 3.47, 6 Tm 3.78
2 Tm 0.7411 0.7411 0.7768  3 Zr 3.27, 6 Tm 3.47
3 Tm 0.2589 0.2589 0.2232  3 Zr 3.27, 6 Tm 3.47
4 Zr 0.0000 0.0000 0.0000  6 Tm 3.27, 6 Zr 3.47

Values from the calculation:
The formation energy is 0.12 eV/atom. Its total energy is -4.753 eV per atom. Its symmetry is R-3m, No. 166. For the excess energy over the best structure of this formula in the dataset, the calculation gives 21.3 meV per atom.

=====

No. 12
CdAs | PBE | optimized geometry

a b c (Å): 7.9954 7.9954 7.9954
angles (deg): 27.23 27.23 27.23
Last column: nearest neighbours and their distance in Å.
Element x y z (fractional)
1 As 0.1359 0.1359 0.1359  3 As 2.60
2 As 0.8641 0.8641 0.8641  3 As 2.60
3 Cd 0.3783 0.3783 0.3783  3 Cd 3.01, 3 As 3.02
4 Cd 0.6217 0.6217 0.6217  3 Cd 3.01, 3 As 3.02

Values from the calculation:
The formation energy is 0.08 eV/atom. Its total energy is -2.701 eV per atom. Its symmetry is R-3m, No. 166. For the excess energy over the best structure of this formula in the dataset, the calculation gives 162.6 meV per atom.